Computed, not measured: Y2AgS after structural relaxation at the PBE-GGA level of DFT.

a = 11.707 Å, b = 11.707 Å, c = 4.073 Å
α = 90.00°, β = 90.00°, γ = 160.44°
Atoms (fractional coordinates):
Y: 0.075 0.925 0.750
Y: 0.312 0.688 0.750
Y: 0.688 0.312 0.250
Y: 0.925 0.075 0.250
Ag: 0.457 0.543 0.750
Ag: 0.543 0.457 0.250
S: 0.194 0.806 0.750
S: 0.806 0.194 0.250

## Properties
formation energy without anion corrections = -1.147 eV per atom

=====

Computed, not measured: Y6AgS8 after structural relaxation at the PBE-GGA level of DFT.

a = 7.802 Å, b = 7.802 Å, c = 7.802 Å
α = 60.00°, β = 60.00°, γ = 60.00°
Atoms (fractional coordinates):
Y: 0.000 0.000 0.500
Y: 0.000 0.500 0.000
Y: 0.000 0.500 0.500
Y: 0.500 0.000 0.000
Y: 0.500 0.000 0.500
Y: 0.500 0.500 0.000
Ag: 0.000 0.000 0.000
S: 0.250 0.250 0.250
S: 0.255 0.255 0.745
S: 0.255 0.745 0.255
S: 0.255 0.745 0.745
S: 0.745 0.255 0.255
S: 0.745 0.255 0.745
S: 0.745 0.745 0.255
S: 0.750 0.750 0.750

## Properties
formation energy without anion corrections = -1.840 eV per atom

=====

Computed, not measured: Y6AgS5 after structural relaxation at the PBE-GGA level of DFT.

a = 6.877 Å, b = 6.877 Å, c = 6.856 Å
α = 99.63°, β = 99.63°, γ = 120.10°
Atoms (fractional coordinates):
Y: 0.069 0.416 0.744
Y: 0.240 0.240 0.257
Y: 0.416 0.069 0.744
Y: 0.584 0.931 0.256
Y: 0.760 0.760 0.743
Y: 0.931 0.584 0.256
Ag: 0.500 0.500 0.000
S: 0.000 0.000 0.500
S: 0.166 0.834 0.000
S: 0.335 0.665 0.500
S: 0.665 0.335 0.500
S: 0.834 0.166 0.000

## Properties
formation energy without anion corrections = -1.696 eV per atom

=====

Computed, not measured: Y3AgS after structural relaxation at the PBE-GGA level of DFT.

a = 8.991 Å, b = 3.850 Å, c = 14.834 Å
α = 90.00°, β = 90.00°, γ = 90.00°
Atoms (fractional coordinates):
Y: 0.014 0.250 0.108
Y: 0.162 0.250 0.541
Y: 0.182 0.750 0.291
Y: 0.318 0.250 0.791
Y: 0.338 0.750 0.041
Y: 0.486 0.750 0.608
Y: 0.514 0.250 0.392
Y: 0.662 0.250 0.959
Y: 0.682 0.750 0.209
Y: 0.818 0.250 0.709
Y: 0.838 0.750 0.459
Y: 0.986 0.750 0.892
Ag: 0.093 0.750 0.691
Ag: 0.407 0.250 0.191
Ag: 0.593 0.750 0.809
Ag: 0.907 0.250 0.309
S: 0.177 0.250 0.953
S: 0.323 0.750 0.453
S: 0.677 0.250 0.547
S: 0.823 0.750 0.047

## Properties
formation energy without anion corrections = -0.921 eV per atom

=====

What did we get for Fermi-level density of states? Answer: 2.231, 4.771, 4.986, 3.130 states/eV/f.u., in the order shown.
What did we get for E? Answer: -6.12, -6.82, -6.89, -6.20 eV/atom, in the order shown.